Here is a PBEsol-optimized structure of O from Alexandria. Energies are from meta-GGA SCAN.

## Properties
N(E_F) (states/eV/f.u.): 0.000
Symmetry: No. 12
Offset from the most stable computed form (meV/atom): 0
ΔE_f (raw) (eV/atom): 0.000
Electronic total energy (eV per atom): -6.231

Unit cell a=3.4333 b=3.4333 c=4.3604 alpha=118.75 beta=118.75 gamma=90.35
Element x y z (fractional)
O 0.0212 0.0212 0.1557
O 0.9788 0.9788 0.8443